Record 1
Sr3LaC2N4F5 (PBEsol, optimized geometry); total magnetic moment = 0.0000 μB/atom; energy = -7.34 eV per atom; theoretical density = 4.5 g/cm3; formation energy from raw total energies = -2.411 eV/atom
1.0
-3.785 4.280 3.129
-2.068 -1.362 6.142
2.701 4.641 3.654
C N Sr F La
2 4 3 5 1
Direct
0.990 0.498 0.495
0.488 0.502 0.495
0.970 0.679 0.378
0.009 0.316 0.609
0.325 0.684 0.609
0.649 0.321 0.378
0.601 0.314 0.003
0.430 0.000 0.669
0.915 0.686 0.003
0.018 0.000 0.008
0.770 0.000 0.740
0.227 0.280 0.009
0.507 0.720 0.009
0.505 0.000 0.258
0.097 0.000 0.337


Record 2
Mg4Cu5Te3O18 (PBEsol, optimized geometry); total magnetic moment = 0.0947 μB/atom; energy = -5.76 eV per atom; theoretical density = 5.4 g/cm3; formation energy from raw total energies = -1.307 eV/atom
1.0
-7.230 -1.666 4.460
0.166 -6.313 5.921
2.140 5.936 8.045
Mg Te O Cu
8 6 36 10
Direct
0.931 0.664 0.918
0.645 0.326 0.519
0.674 0.355 0.981
0.326 0.645 0.019
0.664 0.931 0.418
0.336 0.069 0.582
0.355 0.674 0.481
0.069 0.336 0.082
0.662 0.645 0.205
0.338 0.355 0.795
0.000 0.000 0.500
0.355 0.338 0.295
0.645 0.662 0.705
0.000 0.000 0.000
0.240 0.907 0.052
0.086 0.771 0.927
0.114 0.451 0.383
0.932 0.916 0.171
0.229 0.914 0.573
0.886 0.549 0.617
0.419 0.121 0.402
0.449 0.752 0.319
0.762 0.420 0.311
0.093 0.760 0.448
0.451 0.114 0.883
0.782 0.709 0.333
0.121 0.419 0.902
0.431 0.429 0.919
0.549 0.886 0.117
0.218 0.291 0.667
0.238 0.580 0.689
0.429 0.431 0.419
0.771 0.086 0.427
0.084 0.068 0.329
0.581 0.879 0.598
0.907 0.240 0.552
0.291 0.218 0.167
0.709 0.782 0.833
0.420 0.762 0.811
0.760 0.093 0.948
0.752 0.449 0.819
0.569 0.571 0.081
0.914 0.229 0.073
0.580 0.238 0.189
0.916 0.932 0.671
0.068 0.084 0.829
0.248 0.551 0.181
0.551 0.248 0.681
0.879 0.581 0.098
0.571 0.569 0.581
0.321 0.982 0.238
0.136 0.532 0.551
0.532 0.136 0.051
0.679 0.018 0.762
0.831 0.169 0.250
0.468 0.864 0.949
0.169 0.831 0.750
0.864 0.468 0.449
0.982 0.321 0.738
0.018 0.679 0.262


Record 3
Ba2LiFe (PBEsol, optimized geometry); total magnetic moment = 0.5235 μB/atom; energy = -3.25 eV per atom; formation energy = 552.4 meV per atom; theoretical density = 4.5 g/cm3; distance to the lowest polymorph of the same formula = 5 meV/atom
1.0
-0.692 2.827 2.315
2.262 -2.967 4.301
4.814 1.939 -3.916
Fe Li Ba
1 1 2
Direct
0.529 0.489 0.058
0.192 0.717 0.383
0.790 0.323 0.579
0.990 0.971 0.980


Record 4
TlIn2Co (PBEsol, optimized geometry); total magnetic moment = 0.2644 μB/atom; energy = -3.59 eV per atom; formation energy = 493.9 meV per atom; theoretical density = 10.0 g/cm3; distance to the lowest polymorph of the same formula = 0 meV/atom
1.0
-2.302 -2.195 -1.282
1.009 -3.156 3.592
-3.479 2.035 2.764
Co Tl In
1 1 2
Direct
0.500 0.000 0.000
0.500 0.500 0.500
0.000 0.000 0.500
0.000 0.500 0.000


Record 5
La4Ni3O10 (PBEsol, optimized geometry); total magnetic moment = 0.0000 μB/atom; energy = -7.85 eV per atom; theoretical density = 7.5 g/cm3; formation energy from raw total energies = -2.421 eV/atom
1.0
-2.759 -1.141 -2.341
0.455 -3.570 1.203
-8.125 4.503 10.457
La O Ni
4 10 3
Direct
0.698 0.698 0.396
0.302 0.302 0.604
0.433 0.433 0.867
0.567 0.567 0.133
0.639 0.139 0.278
0.929 0.929 0.859
0.071 0.071 0.141
0.861 0.361 0.722
0.500 0.000 0.000
0.000 0.500 0.000
0.784 0.784 0.569
0.139 0.639 0.278
0.361 0.861 0.722
0.216 0.216 0.431
0.860 0.860 0.720
0.000 0.000 0.000
0.140 0.140 0.280


Record 6
AgCl2 (PBEsol, optimized geometry); total magnetic moment = 0.0000 μB/atom; energy = -2.76 eV per atom; theoretical density = 4.3 g/cm3; formation energy from raw total energies = -0.314 eV/atom
1.0
-1.457 -4.977 0.203
0.774 -0.017 5.132
-4.534 3.955 -1.927
Cl Ag
4 2
Direct
0.862 0.112 0.723
0.388 0.638 0.777
0.612 0.362 0.223
0.138 0.888 0.277
0.625 0.875 0.250
0.375 0.125 0.750


Record 7
FeCu2W (PBEsol, optimized geometry); total magnetic moment = 0.0001 μB/atom; energy = -7.59 eV per atom; formation energy = 265.4 meV per atom; theoretical density = 12.7 g/cm3; distance to the lowest polymorph of the same formula = 9 meV/atom
1.0
-1.365 1.022 -3.027
2.776 -1.239 -1.670
-2.508 -3.421 1.970
W Fe Cu
1 1 2
Direct
0.000 0.500 0.000
0.500 0.000 0.000
0.750 0.750 0.500
0.250 0.250 0.500


Record 8
NiMo3S4 (PBEsol, optimized geometry); total magnetic moment = 0.0000 μB/atom; energy = -8.06 eV per atom; theoretical density = 6.2 g/cm3; formation energy from raw total energies = -0.684 eV/atom
1.0
6.280 0.003 0.013
-0.154 6.421 0.034
-0.775 -0.906 6.326
S Mo Ni
8 6 2
Direct
0.143 0.384 0.722
0.802 0.811 0.810
0.198 0.189 0.190
0.733 0.123 0.372
0.641 0.278 0.856
0.857 0.616 0.278
0.359 0.722 0.144
0.267 0.877 0.628
0.593 0.790 0.464
0.218 0.544 0.409
0.457 0.602 0.794
0.543 0.398 0.206
0.782 0.456 0.591
0.407 0.210 0.536
0.841 0.094 0.058
0.159 0.906 0.942


Record 9
TaCu2Rh (PBEsol, optimized geometry); total magnetic moment = 0.0000 μB/atom; energy = -7.39 eV per atom; formation energy = -54.7 meV per atom; theoretical density = 12.7 g/cm3
1.0
-2.220 -0.184 1.598
0.468 -3.869 0.206
2.891 0.568 4.088
Cu Rh Ta
2 1 1
Direct
0.000 0.000 0.243
0.000 0.000 0.757
0.500 0.500 0.000
0.500 0.500 0.500


Record 10
ZnCd3Se4 (PBEsol, optimized geometry); total magnetic moment = 0.0000 μB/atom; energy = -3.16 eV per atom; theoretical density = 5.6 g/cm3; formation energy from raw total energies = -0.583 eV/atom
1.0
5.969 0.000 0.000
0.000 5.969 0.000
0.000 0.000 5.969
Cd Zn Se
3 1 4
Direct
0.500 0.000 0.500
0.000 0.500 0.500
0.500 0.500 0.000
0.000 0.000 0.000
0.762 0.238 0.762
0.762 0.762 0.238
0.238 0.238 0.238
0.238 0.762 0.762


Record 11
Ag2MoCl (PBEsol, optimized geometry); total magnetic moment = 0.0000 μB/atom; energy = -4.85 eV per atom; theoretical density = 8.4 g/cm3; formation energy from raw total energies = 0.248 eV/atom
1.0
-0.916 2.707 -0.014
0.093 -1.377 -2.502
-8.885 -2.999 1.320
Cl Mo Ag
1 1 2
Direct
0.000 0.000 0.464
0.500 0.500 0.263
0.000 0.000 0.010
0.500 0.500 0.763


Record 12
Ag4AsRh (PBEsol, optimized geometry); total magnetic moment = 0.0000 μB/atom; energy = -3.95 eV per atom; formation energy = 466.6 meV per atom; theoretical density = 9.8 g/cm3
1.0
5.268 0.000 0.000
2.634 4.562 0.000
2.634 1.521 4.301
Ag As Rh
4 1 1
Direct
0.625 0.625 0.124
0.625 0.625 0.625
0.625 0.124 0.625
0.124 0.625 0.625
0.250 0.250 0.250
0.000 0.000 0.000


Question: What is the energy in the fourth record?
Answer: -3.59 eV per atom


Question: Among the records above, which one has the lowest theoretical density?
Answer: AgCl2